Here is a relaxed Tb2Ag3 crystal from Alexandria via LeMat-Bulk. Energies are from PBE.

Properties
- formation energy (eV per atom) = -0.292
- Fermi-level density of states (states/eV/atom) = 0.602
- size of the total moment (μB/f.u.) = 0.00
- relative energy among the computed polymorphs (meV/atom) = 0
- symmetry = I4/mmm, No. 139

abc: 3.6797 3.6797 16.9389
angles: 90.00 90.00 90.00
Positions (direct):
Tb: 0.0000 0.0000 0.1078
Tb: 0.0000 0.0000 0.8922
Tb: 0.5000 0.5000 0.3922
Tb: 0.5000 0.5000 0.6078
Ag: 0.0000 0.0000 0.2930
Ag: 0.0000 0.0000 0.5000
Ag: 0.0000 0.0000 0.7070
Ag: 0.5000 0.5000 0.0000
Ag: 0.5000 0.5000 0.2070
Ag: 0.5000 0.5000 0.7930